# 1
# ScSi2Pd2

An optimized crystal structure of ScSi2Pd2 (PBE, Alexandria).

```
ScSi2Pd2
1.0
-0.1217 1.5084 -3.5641
1.7836 -5.7495 -0.3908
-7.0141 -2.1309 -0.6622
Sc Si Pd
2 4 4
Cartesian
-1.0180 -4.8692 -2.0259
-5.7101 -1.9208 -2.7212
-3.7273 -3.9168 -1.5303
-0.2968 -2.0517 -2.9615
1.2324 -3.7253 -3.7220
-3.5330 -1.7196 -0.6071
-5.6971 -5.1606 -1.9894
-2.6695 -2.1272 -2.9124
-1.0374 -1.5690 -0.6286
-3.6654 -4.6057 -3.9273
```

=====

# 2
# ScSiPd5

An optimized crystal structure of ScSiPd5 (PBE, Alexandria).

```
ScSiPd5
1.0
-3.0846 1.9160 -1.6363
-2.0014 -3.4345 -0.2488
-2.6915 1.1069 6.3699
Sc Si Pd
1 1 5
Cartesian
-1.3457 0.5535 3.1849
-2.5430 -0.7592 -0.9425
-3.1380 -0.8382 4.9340
-1.5548 -1.4893 1.1871
-3.6796 1.8370 4.2403
-2.0964 1.1859 0.4934
-3.8887 -0.2058 2.2424
```

=====

# 3
# ScSi4Pd6

An optimized crystal structure of ScSi4Pd6 (PBE, Alexandria).

```
ScSi4Pd6
1.0
3.7451 0.0000 0.0000
0.0000 6.2312 -3.5976
0.0000 0.0000 7.1952
Sc Si Pd
1 4 6
Cartesian
0.0000 0.0000 0.0000
1.8726 5.0600 1.5690
1.8726 2.3425 0.0000
1.8726 5.0600 -1.5690
0.0000 2.0771 3.5976
0.0000 3.3322 -1.4237
1.8726 3.7953 3.5976
0.0000 3.3322 1.4237
0.0000 5.7981 0.0000
1.8726 1.2180 5.0857
1.8726 1.2180 2.1095
```

=====

# 4
# Sc2Si2Pd

An optimized crystal structure of Sc2Si2Pd (PBE, Alexandria).

```
Sc2Si2Pd
1.0
-2.1229 -4.7275 3.7478
5.8868 -0.7542 2.3831
-0.8610 2.7668 3.0024
Sc Si Pd
4 4 2
Cartesian
3.1511 0.0768 3.7323
3.0367 -2.4083 5.9896
-0.2482 -2.7917 5.4010
-0.1338 -0.3066 3.1437
4.3191 -2.3807 3.4324
1.8978 -4.5702 4.7558
-0.5552 -3.1011 2.6985
1.8661 -0.9115 1.3751
0.0000 0.0000 0.0000
1.8819 -2.7409 3.0654
```

=====

# 5
# Sc2Si3Pd2

An optimized crystal structure of Sc2Si3Pd2 (PBE, Alexandria).

```
Sc2Si3Pd2
1.0
-3.9473 0.2100 -0.2312
-0.4800 -1.7808 6.5785
2.2816 8.1774 2.3801
Sc Si Pd
4 6 4
Cartesian
-0.0264 2.0735 2.3333
-2.1194 4.5331 6.3941
-1.8186 7.0579 3.5518
-0.3272 -0.4513 5.1756
-0.2211 2.4022 5.9558
-1.9247 4.2044 2.7716
-2.1411 0.3379 2.9557
-0.0046 6.2687 5.7717
-0.1733 5.6429 8.0832
-1.9725 0.9636 0.6442
-2.3135 1.5651 7.0136
0.1678 5.0415 1.7138
-0.0266 4.3202 4.3785
-2.1191 2.2864 4.3489
```

=====

# 6
# ScSi2Pd2

An optimized crystal structure of ScSi2Pd2 (PBE, Alexandria).

```
ScSi2Pd2
1.0
7.3309 0.0000 0.0000
0.0000 7.3309 0.0000
0.0000 0.0000 2.9189
Sc Si Pd
2 4 4
Cartesian
0.0000 0.0000 0.0000
3.6654 3.6654 0.0000
2.5923 6.2577 0.0000
6.2577 4.7386 0.0000
4.7386 1.0731 0.0000
1.0731 2.5923 0.0000
1.0769 4.7423 1.4594
4.7423 6.2539 1.4594
6.2539 2.5885 1.4594
2.5885 1.0769 1.4594
```

=====

# 7
# Sc3SiPd

An optimized crystal structure of Sc3SiPd (PBE, Alexandria).

```
Sc3SiPd
1.0
4.9505 0.0000 0.0000
0.0000 4.9505 0.0000
0.0000 0.0000 4.9505
Sc Si Pd
3 1 1
Cartesian
0.0000 2.4753 0.0000
0.0000 0.0000 2.4753
2.4753 0.0000 0.0000
0.0000 0.0000 0.0000
2.4753 2.4753 2.4753
```

=====

# 8
# Sc3Si3Pd

An optimized crystal structure of Sc3Si3Pd (PBE, Alexandria).

```
Sc3Si3Pd
1.0
4.0022 0.0000 0.6029
1.9696 5.0191 0.5103
0.1902 0.1326 12.3228
Sc Si Pd
6 6 2
Cartesian
2.8588 1.7579 8.1934
3.3033 3.3937 5.2425
1.5885 1.2883 3.0403
4.5735 3.8634 10.3956
2.3223 1.5480 11.7546
3.8397 3.6036 1.6813
4.9866 3.5572 7.6536
1.1755 1.5944 5.7823
2.2997 4.3535 11.9045
3.8623 0.7982 1.5315
5.5615 4.1748 3.8372
0.6006 0.9769 9.5988
3.2707 0.4349 5.4590
2.8914 4.7168 7.9769
```

=====

| no. | volume (Å³ per cell) | ΔE_f (raw) (eV per atom) | N(E_F) (states/eV per cell) |
| --- | --- | --- | --- |
| 1 | 163 | -0.8026 | 4.83 |
| 2 | 111 | -0.8136 | 2.28 |
| 3 | 168 | -0.7504 | 5.08 |
| 4 | 171 | -0.9237 | 2.67 |
| 5 | 232 | -0.8519 | 7.12 |
| 6 | 157 | -0.5237 | 6.92 |
| 7 | 121 | -0.0017 | 8.07 |
| 8 | 247 | -0.9019 | 5.81 |